# LaBeIn (PBE, relaxed)
data_LaBeIn
_cell_length_a 3.981
_cell_length_b 6.068
_cell_length_c 6.810
_cell_angle_alpha 96.88
_cell_angle_beta 90.02
_cell_angle_gamma 108.98
_symmetry_space_group_name_H-M 'P 1'
_symmetry_Int_Tables_number 1
_symmetry_space_group_name_Hall 'P 1'
loop_
_atom_site_label
_atom_site_type_symbol
_atom_site_fract_x
_atom_site_fract_y
_atom_site_fract_z
La1 La 0.000 0.000 0.000
La2 La 0.338 0.680 0.473
Be1 Be 0.282 0.565 0.029
Be2 Be 0.754 0.509 0.145
In1 In 0.605 0.208 0.376
In2 In 0.705 0.411 0.788
# DOS at the Fermi energy (states/eV per atom): 1.38
# Total DFT energy (no corrections) (eV/atom): -3.865
# V (Å³/cell): 154.31
# Formation enthalpy at 0 K (meV per atom): -68
# Energy above the lowest structure with this stoichiometry (meV/atom): 137.1

---

# La2BeInPd6 (PBE, relaxed)
data_La2BeInPd6
_cell_length_a 5.907
_cell_length_b 5.915
_cell_length_c 7.591
_cell_angle_alpha 67.67
_cell_angle_beta 67.27
_cell_angle_gamma 60.07
_symmetry_space_group_name_H-M 'P -1'
_symmetry_Int_Tables_number 2
_symmetry_space_group_name_Hall '-P 1'
loop_
_atom_site_label
_atom_site_type_symbol
_atom_site_fract_x
_atom_site_fract_y
_atom_site_fract_z
La1 La 0.244 0.250 0.264
Be1 Be 0.000 0.000 0.000
In1 In 0.500 0.500 0.500
Pd1 Pd 0.235 0.706 0.822
Pd2 Pd 0.236 0.230 0.813
Pd3 Pd 0.284 0.771 0.184
# DOS at the Fermi energy (states/eV per atom): 0.32
# Total DFT energy (no corrections) (eV/atom): -5.406
# V (Å³/cell): 206.10
# Formation enthalpy at 0 K (meV per atom): -659

---

# La3Be2InPd9 (PBE, relaxed)
data_La3Be2InPd9
_cell_length_a 5.9472
_cell_length_b 5.9472
_cell_length_c 9.7085
_cell_angle_alpha 90.00
_cell_angle_beta 90.00
_cell_angle_gamma 120.00
_symmetry_space_group_name_H-M 'P -3 m 1'
_symmetry_Int_Tables_number 164
_symmetry_space_group_name_Hall '-P 3 2"'
loop_
_atom_site_label
_atom_site_type_symbol
_atom_site_fract_x
_atom_site_fract_y
_atom_site_fract_z
La1 La 0.0000 0.0000 0.0000
La2 La 0.3333 0.6667 0.6857
Be1 Be 0.3333 0.6667 0.1456
In1 In 0.0000 0.0000 0.5000
Pd1 Pd 0.0000 0.5000 0.0000
Pd2 Pd 0.1634 0.3268 0.2806
# DOS at the Fermi energy (states/eV per atom): 0.29
# Total DFT energy (no corrections) (eV/atom): -5.452
# V (Å³/cell): 297.38
# Formation enthalpy at 0 K (meV per atom): -671

---

# La2Be2InRh5 (PBE, relaxed)
data_La2Be2InRh5
_cell_length_a 9.805
_cell_length_b 9.805
_cell_length_c 3.463
_cell_angle_alpha 90.00
_cell_angle_beta 90.00
_cell_angle_gamma 90.00
_symmetry_space_group_name_H-M 'P 4/m b m'
_symmetry_Int_Tables_number 127
_symmetry_space_group_name_Hall '-P 4 2ab'
loop_
_atom_site_label
_atom_site_type_symbol
_atom_site_fract_x
_atom_site_fract_y
_atom_site_fract_z
La1 La 0.178 0.322 0.000
Be1 Be 0.118 0.618 0.000
In1 In 0.000 0.000 0.000
Rh1 Rh 0.000 0.500 0.500
Rh2 Rh 0.069 0.778 0.500
# DOS at the Fermi energy (states/eV per atom): 0.52
# Total DFT energy (no corrections) (eV/atom): -6.362
# V (Å³/cell): 332.93
# Formation enthalpy at 0 K (meV per atom): -682

---

# LaBeIn2Rh (PBE, relaxed)
data_LaBeIn2Rh
_cell_length_a 5.166
_cell_length_b 5.166
_cell_length_c 5.265
_cell_angle_alpha 90.00
_cell_angle_beta 90.00
_cell_angle_gamma 90.00
_symmetry_space_group_name_H-M 'P 4/m m m'
_symmetry_Int_Tables_number 123
_symmetry_space_group_name_Hall '-P 4 2'
loop_
_atom_site_label
_atom_site_type_symbol
_atom_site_fract_x
_atom_site_fract_y
_atom_site_fract_z
La1 La 0.000 0.000 0.000
Be1 Be 0.500 0.500 0.000
In1 In 0.000 0.500 0.500
Rh1 Rh 0.000 0.000 0.500
# DOS at the Fermi energy (states/eV per atom): 0.68
# Total DFT energy (no corrections) (eV/atom): -4.225
# V (Å³/cell): 140.51
# Formation enthalpy at 0 K (meV per atom): 71

---

# LaBeInRu2 (PBE, relaxed)
data_LaBeInRu2
_cell_length_a 4.924
_cell_length_b 4.924
_cell_length_c 5.682
_cell_angle_alpha 90.00
_cell_angle_beta 90.00
_cell_angle_gamma 90.00
_symmetry_space_group_name_H-M 'P 4/m m m'
_symmetry_Int_Tables_number 123
_symmetry_space_group_name_Hall '-P 4 2'
loop_
_atom_site_label
_atom_site_type_symbol
_atom_site_fract_x
_atom_site_fract_y
_atom_site_fract_z
La1 La 0.000 0.000 0.000
Be1 Be 0.500 0.500 0.000
In1 In 0.000 0.000 0.500
Ru1 Ru 0.000 0.500 0.500
# DOS at the Fermi energy (states/eV per atom): 1.03
# Total DFT energy (no corrections) (eV/atom): -4.310
# V (Å³/cell): 137.75
# Formation enthalpy at 0 K (meV per atom): 1679

---

# Li2BeIn (PBE, relaxed)
data_Li2BeIn
_cell_length_a 4.391
_cell_length_b 4.391
_cell_length_c 6.177
_cell_angle_alpha 90.00
_cell_angle_beta 90.00
_cell_angle_gamma 90.00
_symmetry_space_group_name_H-M 'I -4 m 2'
_symmetry_Int_Tables_number 119
_symmetry_space_group_name_Hall 'I -4 -2'
loop_
_atom_site_label
_atom_site_type_symbol
_atom_site_fract_x
_atom_site_fract_y
_atom_site_fract_z
Li1 Li 0.000 0.000 0.000
Li2 Li 0.000 0.500 0.250
Be1 Be 0.000 0.500 0.750
In1 In 0.000 0.000 0.500
# DOS at the Fermi energy (states/eV per atom): 0.25
# Total DFT energy (no corrections) (eV/atom): -2.641
# V (Å³/cell): 119.10
# Formation enthalpy at 0 K (meV per atom): -68
# Energy above the lowest structure with this stoichiometry (meV/atom): 0.0

---

# Li2BeIn2 (PBE, relaxed)
data_Li2BeIn2
_cell_length_a 6.673
_cell_length_b 6.673
_cell_length_c 4.429
_cell_angle_alpha 90.00
_cell_angle_beta 90.00
_cell_angle_gamma 90.00
_symmetry_space_group_name_H-M 'P 4/m b m'
_symmetry_Int_Tables_number 127
_symmetry_space_group_name_Hall '-P 4 2ab'
loop_
_atom_site_label
_atom_site_type_symbol
_atom_site_fract_x
_atom_site_fract_y
_atom_site_fract_z
Li1 Li 0.155 0.345 0.000
Be1 Be 0.000 0.000 0.500
In1 In 0.157 0.657 0.500
# DOS at the Fermi energy (states/eV per atom): 0.41
# Total DFT energy (no corrections) (eV/atom): -2.527
# V (Å³/cell): 197.21
# Formation enthalpy at 0 K (meV per atom): 79
# Energy above the lowest structure with this stoichiometry (meV/atom): 0.0

---

# Li2BeIn (PBE, relaxed)
data_Li2BeIn
_cell_length_a 3.426
_cell_length_b 4.116
_cell_length_c 4.428
_cell_angle_alpha 90.00
_cell_angle_beta 90.00
_cell_angle_gamma 90.00
_symmetry_space_group_name_H-M 'P m m m'
_symmetry_Int_Tables_number 47
_symmetry_space_group_name_Hall '-P 2 2'
loop_
_atom_site_label
_atom_site_type_symbol
_atom_site_fract_x
_atom_site_fract_y
_atom_site_fract_z
Li1 Li 0.000 0.000 0.000
Li2 Li 0.500 0.500 0.000
Be1 Be 0.000 0.500 0.500
In1 In 0.500 0.000 0.500
# DOS at the Fermi energy (states/eV per atom): 0.44
# Total DFT energy (no corrections) (eV/atom): -2.516
# V (Å³/cell): 62.45
# Formation enthalpy at 0 K (meV per atom): 58
# Energy above the lowest structure with this stoichiometry (meV/atom): 125.6

---

# LiBe2In (PBE, relaxed)
data_LiBe2In
_cell_length_a 5.432
_cell_length_b 8.686
_cell_length_c 2.814
_cell_angle_alpha 90.00
_cell_angle_beta 120.68
_cell_angle_gamma 90.00
_symmetry_space_group_name_H-M 'C 1 2/m 1'
_symmetry_Int_Tables_number 12
_symmetry_space_group_name_Hall '-C 2y'
loop_
_atom_site_label
_atom_site_type_symbol
_atom_site_fract_x
_atom_site_fract_y
_atom_site_fract_z
Li1 Li 0.000 0.000 0.000
Be1 Be 0.250 0.250 0.500
In1 In 0.000 0.500 0.000
# DOS at the Fermi energy (states/eV per atom): 0.23
# Total DFT energy (no corrections) (eV/atom): -2.596
# V (Å³/cell): 114.20
# Formation enthalpy at 0 K (meV per atom): 430

---

# Li2BeIn (PBE, relaxed)
data_Li2BeIn
_cell_length_a 3.108
_cell_length_b 3.108
_cell_length_c 6.340
_cell_angle_alpha 90.00
_cell_angle_beta 90.00
_cell_angle_gamma 90.00
_symmetry_space_group_name_H-M 'P 4/m m m'
_symmetry_Int_Tables_number 123
_symmetry_space_group_name_Hall '-P 4 2'
loop_
_atom_site_label
_atom_site_type_symbol
_atom_site_fract_x
_atom_site_fract_y
_atom_site_fract_z
Li1 Li 0.000 0.000 0.209
Be1 Be 0.500 0.500 0.000
In1 In 0.500 0.500 0.500
# DOS at the Fermi energy (states/eV per atom): 0.26
# Total DFT energy (no corrections) (eV/atom): -2.499
# V (Å³/cell): 61.22
# Formation enthalpy at 0 K (meV per atom): 74
# Energy above the lowest structure with this stoichiometry (meV/atom): 142.3

---

# LiBe2In (PBE, relaxed)
data_LiBe2In
_cell_length_a 3.027
_cell_length_b 3.928
_cell_length_c 5.020
_cell_angle_alpha 90.00
_cell_angle_beta 107.30
_cell_angle_gamma 90.00
_symmetry_space_group_name_H-M 'P 1 m 1'
_symmetry_Int_Tables_number 6
_symmetry_space_group_name_Hall 'P -2y'
loop_
_atom_site_label
_atom_site_type_symbol
_atom_site_fract_x
_atom_site_fract_y
_atom_site_fract_z
Li1 Li 0.000 0.000 0.000
Be1 Be 0.601 0.500 0.204
Be2 Be 0.709 0.000 0.421
In1 In 0.324 0.500 0.657
# DOS at the Fermi energy (states/eV per atom): 0.22
# Total DFT energy (no corrections) (eV/atom): -2.758
# V (Å³/cell): 57.00
# Formation enthalpy at 0 K (meV per atom): 268

---

What is the formula in the fourth record?
La2Be2InRh5

---

Which formula does entry 8 have?
Li2BeIn2

---

Which formula does entry 7 have?
Li2BeIn

---

What is the formula in the eleventh record?
Li2BeIn